Here is a relaxed structure of VNiMoO6 from Alexandria via LeMat-Bulk. Energies are from PBE with a Hubbard U.

## Properties
E_tot	-121.96	eV/cell
SG	P4_2nm (102)

a = 4.713 Å, b = 4.713 Å, c = 8.864 Å
α = 90.00°, β = 90.00°, γ = 90.00°
Sites, in units of the cell vectors:
O  0.204  0.796  0.845
O  0.203  0.797  0.488
O  0.704  0.704  0.345
O  0.812  0.188  0.167
O  0.796  0.204  0.845
O  0.188  0.812  0.167
O  0.703  0.703  0.988
O  0.797  0.203  0.488
O  0.297  0.297  0.988
O  0.296  0.296  0.345
O  0.688  0.688  0.667
O  0.312  0.312  0.667
Mo  0.000  0.000  0.336
Mo  0.500  0.500  0.836
Ni  0.000  0.000  0.668
Ni  0.500  0.500  0.168
V  0.500  0.500  0.495
V  0.000  0.000  0.995